[1]
! MnFeP2O8, relaxed, DFT PBE+U; values from VASP
! Polymorph energy (0 for the lowest one) = 2 meV/atom
! Uncorrected energy = -0.5332 Ry/atom
! Size of the total moment = 17.98 Bohr magnetons per cell
&SYSTEM
  ibrav = 0, nat = 24, ntyp = 4
/
ATOMIC_SPECIES
Mn 54.94 Mn.upf
Fe 55.84 Fe.upf
P 30.97 P.upf
O 16.00 O.upf
CELL_PARAMETERS angstrom
4.886 0.000 0.000
0.000 5.962 0.000
-0.142 0.000 9.897
ATOMIC_POSITIONS angstrom
Mn 0.323 1.491 2.146
Mn 4.421 4.472 7.751
Fe 2.084 1.491 7.140
Fe 2.659 4.472 2.757
P 0.448 4.472 0.946
P 1.873 4.472 5.929
P 2.870 1.491 3.968
P 4.295 1.491 8.950
O 0.614 4.472 9.336
O 0.909 1.491 8.704
O 1.193 3.281 1.664
O 1.193 5.662 1.664
O 1.182 3.253 6.631
O 1.182 5.691 6.631
O 1.335 1.491 3.739
O 1.644 4.472 4.417
O 3.100 1.491 5.480
O 3.408 4.472 6.158
O 3.561 0.271 3.266
O 3.561 2.710 3.266
O 3.550 0.300 8.233
O 3.550 2.681 8.233
O 3.835 4.472 1.193
O 4.130 1.491 0.561

=====

[2]
! CoSnH12O6F6, relaxed, DFT PBE+U; values from VASP
! Uncorrected energy = -0.3622 Ry/atom
! Density of states at the Fermi level = 0.27 states/eV per atom
! Size of the total moment = 3.00 Bohr magnetons per cell
&SYSTEM
  ibrav = 0, nat = 26, ntyp = 5
/
ATOMIC_SPECIES
Co 58.93 Co.upf
Sn 118.71 Sn.upf
H 1.01 H.upf
O 16.00 O.upf
F 19.00 F.upf
CELL_PARAMETERS angstrom
4.944 2.854 3.374
-4.944 2.854 3.374
0.000 -5.708 3.374
ATOMIC_POSITIONS angstrom
Co 0.000 0.000 0.000
Sn 0.000 0.000 5.062
H -1.720 0.137 2.149
H -3.157 1.051 4.345
H -2.489 -2.209 5.778
H 0.741 -1.558 2.149
H 0.669 -3.260 4.345
H 0.979 1.421 2.149
H -0.979 -1.421 7.974
H -0.669 3.260 5.778
H -0.741 1.558 7.974
H 2.489 2.209 4.345
H 3.157 -1.051 5.778
H 1.720 -0.137 7.974
O -3.209 -2.847 5.573
O -4.070 1.356 4.551
O 0.861 -4.203 4.551
O -0.861 4.203 5.573
O 4.070 -1.356 5.573
O 3.209 2.847 4.551
F -1.598 0.355 3.898
F 0.492 -1.561 3.898
F -1.106 -1.207 6.225
F 1.106 1.207 3.898
F -0.492 1.561 6.225
F 1.598 -0.355 6.225